LiCaIr2 | SCAN | single point on PBEsol structure

energy of formation from the pure elements	-193.4	meV per atom

a = 2.764 Å, b = 4.374 Å, c = 5.342 Å
α = 90.00°, β = 103.56°, γ = 90.00°
Fractional positions:
Li (0.000, 0.000, 0.000)
Ca (0.500, 0.000, 0.500)
Ir (0.157, 0.500, 0.786)
Ir (0.843, 0.500, 0.214)